VASP calculation (PBE) on NdY3Sc2 after structural relaxation.

polymorph energy (0 for the lowest one): 0 meV per atom

a = 9.4128 Å, b = 3.4547 Å, c = 11.2463 Å
α = 90.00°, β = 93.64°, γ = 90.00°
Space group P2_1/m (No. 11)
Inequivalent atoms, fractional coordinates:
Nd (0.2400, 0.2500, 0.3552) (multiplicity 2)
Y (0.0756, 0.7500, 0.1209) (multiplicity 2)
Y (0.2450, 0.7500, 0.8624) (multiplicity 2)
Y (0.4016, 0.7500, 0.6094) (multiplicity 2)
Sc (0.0831, 0.2500, 0.6183) (multiplicity 2)
Sc (0.4423, 0.7500, 0.1377) (multiplicity 2)

VASP calculation (PBE) on Nd2Y3Sc2 after structural relaxation.

polymorph energy (0 for the lowest one): 0 meV per atom

a = 5.2412 Å, b = 23.5586 Å, c = 3.5049 Å
α = 90.00°, β = 90.00°, γ = 90.00°
Space group Cmmm (No. 65)
Inequivalent atoms, fractional coordinates:
Nd (0.0000, 0.0764, 0.0000) (multiplicity 4)
Y (0.0000, 0.3419, 0.5000) (multiplicity 4)
Y (0.0000, 0.5000, 0.5000) (multiplicity 2)
Sc (0.0000, 0.2170, 0.0000) (multiplicity 4)

VASP calculation (PBE) on Nd4YSc5 after structural relaxation.

a = 3.5742 Å, b = 3.5742 Å, c = 22.8600 Å
α = 90.00°, β = 90.00°, γ = 90.00°
Space group P4/mmm (No. 123)
Inequivalent atoms, fractional coordinates:
Nd (0.0000, 0.0000, 0.1004) (multiplicity 2)
Nd (0.0000, 0.0000, 0.3013) (multiplicity 2)
Y (0.0000, 0.0000, 0.5000) (multiplicity 1)
Sc (0.5000, 0.5000, 0.0000) (multiplicity 1)
Sc (0.5000, 0.5000, 0.2011) (multiplicity 2)
Sc (0.5000, 0.5000, 0.4017) (multiplicity 2)

VASP calculation (PBE) on Nd2YSc after structural relaxation.

polymorph energy (0 for the lowest one): 60 meV per atom

a = 7.9797 Å, b = 7.9797 Å, c = 7.9797 Å
α = 90.00°, β = 90.00°, γ = 90.00°
Space group Fm-3m (No. 225)
Inequivalent atoms, fractional coordinates:
Nd (0.2500, 0.2500, 0.2500) (multiplicity 8)
Y (0.0000, 0.0000, 0.0000) (multiplicity 4)
Sc (0.0000, 0.0000, 0.5000) (multiplicity 4)

ΔE_f / eV/f.u.: 0.7 0.2 0.6 0.4
Total magnetic moment / μB/cell: 0.0 0.0 0.0 0.0